2
Lattice="2.4250 0.0000 0.0000 -1.2125 2.1001 0.0000 0.0000 0.0000 15.2400" Properties=species:S:1:pos:R:3 comment="Co, relaxed, DFT GGA-PBE" formation_enthalpy_0k_mev_per_atom=680 space_group="P-3m1, No. 164" energy_ev_per_atom=-6.43 pbc="T T T"
Co 0.0000 1.4001 0.9693
Co 1.2125 0.7000 14.2707


14
Lattice="-0.8204 -3.1734 0.2395 3.1663 0.8789 -0.0569 -0.0510 1.2163 15.9416" Properties=species:S:1:pos:R:3 comment="HoCo3C3, relaxed, DFT GGA-PBE" space_group="P6_3/mmc, No. 194" energy_ev_per_atom=-7.59 pbc="T T T"
C 0.5030 -1.6925 1.8463
C 1.8246 -0.1678 4.0273
C 0.4884 -1.3446 6.4059
C 1.8064 0.2664 9.7183
C 0.4702 -0.9104 12.0969
C 1.7919 0.6143 14.2779
Co 1.8304 -0.3048 2.2313
Co 0.4957 -1.5186 4.1261
Co 1.8189 -0.0308 5.8233
Co 0.4760 -1.0475 10.3009
Co 1.7992 0.4403 11.9981
Co 0.4645 -0.7734 13.8929
Ho 0.0000 0.0000 0.0000
Ho -0.0255 0.6081 7.9708


4
Lattice="0.0000 3.9229 3.9229 3.9229 0.0000 3.9229 3.9229 3.9229 0.0000" Properties=species:S:1:pos:R:3 comment="La2LuTl, relaxed, DFT GGA-PBE" space_group="F-43m, No. 216" energy_ev_per_atom=-4.20 pbc="T T T"
La 0.0000 0.0000 0.0000
La 5.8843 5.8843 5.8843
Lu 1.9614 1.9614 1.9614
Tl 3.9229 3.9229 3.9229


16
Lattice="4.5237 0.0000 0.0000 0.0000 6.0119 0.0000 0.0000 0.0000 7.4014" Properties=species:S:1:pos:R:3 comment="HfZnNO, relaxed, DFT GGA-PBE" space_group="Pca2_1, No. 29" energy_ev_per_atom=-7.54 pbc="T T T"
Hf 0.2304 0.4543 0.9309
Hf 2.4923 2.5516 0.9309
Hf 0.2304 3.4603 6.4705
Hf 2.4923 5.5576 6.4705
N 2.4955 0.4463 1.0112
N 0.2337 2.5596 1.0112
N 2.4955 3.4523 6.3902
N 0.2337 5.5656 6.3902
O 2.5052 3.4605 2.8353
O 0.2433 5.5574 2.8353
O 2.5052 0.4545 4.5661
O 0.2433 2.5514 4.5661
Zn 0.2082 3.5259 2.7992
Zn 2.4700 5.4920 2.7992
Zn 0.2082 0.5199 4.6022
Zn 2.4700 2.4861 4.6022


12
Lattice="2.3010 -10.8406 0.0000 2.3010 10.8406 0.0000 0.0000 0.0000 13.2616" Properties=species:S:1:pos:R:3 comment="RbBaErTe3, relaxed, DFT GGA-PBE" space_group="Cmcm, No. 63" energy_ev_per_atom=-4.03 pbc="T T T"
Ba 2.3010 8.6582 3.3154
Ba 2.3010 -8.6582 9.9462
Er 2.3010 0.0000 0.0000
Er 2.3010 0.0000 6.6308
Rb 2.3010 -7.9441 3.3154
Rb 2.3010 7.9441 9.9462
Te 2.3010 8.7501 0.0218
Te 2.3010 0.1565 3.3154
Te 2.3010 8.7501 6.6090
Te 2.3010 -8.7501 6.6526
Te 2.3010 -0.1565 9.9462
Te 2.3010 -8.7501 13.2398


10
Lattice="-2.8480 2.8480 4.0375 2.8480 -2.8480 4.0375 2.8480 2.8480 -4.0375" Properties=species:S:1:pos:R:3 comment="Rb2ScOsO6, relaxed, DFT GGA-PBE" space_group="I4/mmm, No. 139" energy_ev_per_atom=-6.76 pbc="T T T"
O 0.0000 0.0000 1.9042
O 0.0000 0.0000 6.1708
O -1.4991 1.5010 4.0375
O 1.3470 1.3490 0.0000
O 1.5010 1.4991 4.0375
O 4.3471 1.3470 0.0000
Os 0.0000 0.0000 0.0000
Rb 0.0000 2.8480 2.0187
Rb 2.8480 0.0000 2.0187
Sc 0.0000 0.0000 4.0375


11
Lattice="-2.3378 3.7105 7.7907 2.3378 -3.7105 7.7907 2.3378 3.7105 -7.7907" Properties=species:S:1:pos:R:3 comment="PrNd2Ag4Sn4, relaxed, DFT GGA-PBE" space_group="Immm, No. 71" energy_ev_per_atom=-4.34 pbc="T T T"
Ag 0.0000 2.2599 2.6523
Ag 2.3378 -1.4506 5.1383
Ag 2.3379 1.4506 5.1383
Ag 0.0000 5.1611 2.6523
Nd 0.0000 3.7105 5.7820
Nd 2.3379 0.0000 2.0087
Pr 0.0000 0.0000 7.7907
Sn 0.0000 0.0000 4.4339
Sn 0.0000 0.0000 11.1474
Sn 0.0000 1.4429 0.0000
Sn 0.0000 5.9782 0.0000


7
Lattice="4.9010 -5.2566 4.4276 0.4265 -6.2352 5.6741 2.2013 -7.9838 1.6337" Properties=species:S:1:pos:R:3 comment="Ge3Bi2Pd2, relaxed, DFT GGA-PBE" space_group="R3m, No. 160" energy_ev_per_atom=-4.49 pbc="T T T"
Bi 1.7531 -4.5349 2.7326
Bi 5.7465 -14.8651 8.9572
Ge 2.7728 -7.1728 4.3221
Ge 4.8288 -12.4914 7.5269
Ge 6.6247 -17.1371 10.3262
Pd 3.7555 -9.7149 5.8539
Pd 7.4568 -19.2895 11.6232


7
Lattice="4.0545 -5.8309 0.0000 4.0545 5.8309 0.0000 0.0000 0.0000 4.0006" Properties=species:S:1:pos:R:3 comment="Gd2Zn4Ag, relaxed, DFT GGA-PBE" formation_enthalpy_0k_mev_per_atom=368 space_group="Cmmm, No. 65" energy_ev_per_atom=-2.09 pbc="T T T"
Ag 4.0545 0.0000 0.0000
Gd 2.0273 -2.9154 2.0003
Gd 2.0273 2.9154 2.0003
Zn 4.0545 -2.7113 0.0000
Zn 4.0545 2.7113 0.0000
Zn 2.0379 0.0000 2.0003
Zn 6.0712 0.0000 2.0003


10
Lattice="-5.7214 5.4742 -2.2490 -5.1274 2.8032 5.7975 0.9275 7.7829 2.5150" Properties=species:S:1:pos:R:3 comment="Rb2InAgI6, relaxed, DFT GGA-PBE" space_group="R3, No. 146" energy_ev_per_atom=-2.50 pbc="T T T"
Ag -4.9676 8.0414 3.0360
I -5.5284 5.2589 4.1376
I -7.9801 8.2887 2.7289
I -4.9687 7.1157 0.1355
I -4.9535 8.9476 5.9358
I -1.9494 7.7734 3.3337
I -4.3917 10.8094 1.9238
In -0.0045 0.0073 0.0028
Rb -2.5061 4.0569 1.5317
Rb -7.4155 12.0040 4.5321


4
Lattice="0.0000 3.3674 3.3674 3.3674 0.0000 3.3674 3.3674 3.3674 0.0000" Properties=species:S:1:pos:R:3 comment="CsCoReAu, relaxed, DFT GGA-PBE" space_group="F-43m, No. 216" energy_ev_per_atom=-3.95 pbc="T T T"
Au 5.0512 5.0512 5.0512
Co 3.3674 3.3674 3.3674
Cs 0.0000 0.0000 0.0000
Re 1.6837 1.6837 1.6837


6
Lattice="4.8298 0.0000 0.0000 -2.4149 4.1827 0.0000 0.0000 0.0000 7.6440" Properties=species:S:1:pos:R:3 comment="SmPbAu, relaxed, DFT GGA-PBE" space_group="P6_3mc, No. 186" energy_ev_per_atom=-4.55 pbc="T T T"
Au 0.0000 2.7885 0.4615
Au 2.4149 1.3942 4.2835
Pb 0.0000 2.7885 3.5006
Pb 2.4149 1.3942 7.3227
Sm 0.0000 0.0000 1.7709
Sm 0.0000 0.0000 5.5930


4
Lattice="0.0000 3.1276 3.1276 3.1276 0.0000 3.1276 3.1276 3.1276 0.0000" Properties=species:S:1:pos:R:3 comment="ScGaCuIr, relaxed, DFT GGA-PBE" space_group="F-43m, No. 216" energy_ev_per_atom=-6.03 pbc="T T T"
Cu 4.6914 4.6914 4.6914
Ga 0.0000 0.0000 0.0000
Ir 1.5638 1.5638 1.5638
Sc 3.1276 3.1276 3.1276


14
Lattice="7.4341 -2.2351 1.2720 3.5078 1.7116 6.8297 1.5568 -5.7250 5.1653" Properties=species:S:1:pos:R:3 comment="Co2GeTe4, relaxed, DFT GGA-PBE" space_group="Fd-3m, No. 227" energy_ev_per_atom=-4.57 pbc="T T T"
Co 1.5624 -0.7811 1.6584
Co 5.2794 -1.8986 2.2944
Co 3.3163 0.0747 5.0733
Co 2.3408 -3.6436 4.2411
Ge 6.2494 -3.1242 6.6336
Ge 9.3741 -4.6863 9.9503
Te 10.2766 -2.2900 8.8862
Te 4.4507 -2.2250 4.7243
Te 8.7301 -3.5116 5.4565
Te 6.4700 -1.2397 8.6558
Te 9.1536 -6.5709 7.9281
Te 6.8934 -4.2990 11.1274
Te 11.1728 -5.5856 11.8596
Te 5.3469 -5.5206 7.6977


16
Lattice="-4.9299 -1.6953 0.3634 2.1623 -5.5403 3.4877 -0.5402 2.4906 4.2913" Properties=species:S:1:pos:R:3 comment="GaReNO, relaxed, DFT GGA-PBE" space_group="Pca2_1, No. 29" energy_ev_per_atom=-7.57 pbc="T T T"
Ga -1.9637 -0.0458 2.4864
Ga -2.6921 -5.3430 5.4691
Ga -0.8494 1.6756 4.5300
Ga -1.5777 -3.6217 7.5127
N -1.9692 -1.2842 1.0538
N -2.8661 -6.1494 3.7646
N -0.2751 0.6366 3.0547
N -1.1721 -4.2287 5.7655
O -3.9553 -2.9289 1.9444
O -0.6433 -4.2518 3.1291
O -2.5325 -1.1015 3.9653
O 0.7795 -2.4244 5.1500
Re -1.8489 -3.3268 1.7695
Re 0.9037 -3.2162 2.0518
Re -3.9547 -2.7128 4.0505
Re -1.2021 -2.6022 4.3328


8
Lattice="4.7231 0.0000 0.0000 0.0000 4.7231 0.0000 0.0000 0.0000 6.7733" Properties=species:S:1:pos:R:3 comment="Na4CdSiPd2, relaxed, DFT GGA-PBE" space_group="P-4m2, No. 115" energy_ev_per_atom=-2.84 pbc="T T T"
Cd 0.0000 0.0000 0.0000
Na 2.3615 2.3615 0.0000
Na 2.3615 0.0000 1.7426
Na 0.0000 0.0000 3.3866
Na 0.0000 2.3615 5.0307
Pd 0.0000 2.3615 1.9708
Pd 2.3615 0.0000 4.8025
Si 2.3615 2.3615 3.3866


12
Lattice="-3.6643 2.0731 0.0070 -1.0195 -3.5328 -5.1906 -1.9947 -4.9068 4.1850" Properties=species:S:1:pos:R:3 comment="TmSeO3F, relaxed, DFT GGA-PBE" space_group="P-1, No. 2" energy_ev_per_atom=-6.53 pbc="T T T"
F -4.3469 -0.4891 -0.6003
F -2.3317 -5.8774 -0.3984
O -3.2751 -1.4613 -3.1259
O -1.8461 -0.2923 0.8376
O -3.3469 -3.5310 -1.7529
O -3.3316 -2.8356 0.7542
O -4.8324 -6.0743 -1.8362
O -3.4034 -4.9052 2.1273
Se -3.9599 -3.0549 -3.3181
Se -2.7186 -3.3116 2.3194
Tm -2.5175 -1.5376 -0.9093
Tm -4.1610 -4.8289 -0.0893


9
Lattice="4.3893 -1.4585 0.0000 4.3893 1.4585 0.0000 -2.5810 0.0000 7.7575" Properties=species:S:1:pos:R:3 comment="Ta2PdO6, relaxed, DFT GGA-PBE" space_group="C2/m, No. 12" energy_ev_per_atom=-8.56 pbc="T T T"
O 1.7090 0.0000 1.0949
O -0.4785 0.0000 2.0104
O 1.8173 0.0000 3.5377
O 4.3804 0.0000 4.2198
O 6.6762 0.0000 5.7472
O 4.4886 0.0000 6.6626
Pd 0.0000 0.0000 0.0000
Ta 5.3882 0.0000 2.3671
Ta 0.8094 0.0000 5.3904


5
Lattice="-3.3088 -1.0084 1.0688 0.9838 -0.3975 -3.4615 2.8524 -7.5779 1.6809" Properties=species:S:1:pos:R:3 comment="Er2CBrF, relaxed, DFT GGA-PBE" space_group="P3m1, No. 156" energy_ev_per_atom=-6.24 pbc="T T T"
Br 2.5018 -6.6464 1.4742
C 0.9249 -4.2462 -1.1429
Er 0.8944 -2.3762 0.5271
Er -0.0681 -5.6131 0.6252
F -1.3251 -2.2735 -0.1155


8
Lattice="3.4780 0.0000 0.0000 -1.7390 3.0120 0.0000 0.0000 0.0000 14.8319" Properties=species:S:1:pos:R:3 comment="Lu4GaSiC2, relaxed, DFT GGA-PBE" space_group="P-6m2, No. 187" energy_ev_per_atom=-6.06 pbc="T T T"
C 0.0000 2.0080 3.7842
C 0.0000 2.0080 11.0477
Ga 0.0000 0.0000 0.0000
Lu 1.7390 1.0040 2.4833
Lu 0.0000 0.0000 5.1114
Lu 0.0000 0.0000 9.7205
Lu 1.7390 1.0040 12.3485
Si 1.7390 1.0040 7.4159